Density functional theory data (PBE-GGA) for an optimized crystal structure of YTcCl2.

Values from the calculation:
Total magnetic moment ... 1.84 μB/f.u.
Raw formation energy ... -0.646 eV/f.u.
Polymorph energy (0 for the lowest one) ... 47.9 kJ per mole of atoms

a = 5.9330 Å, b = 5.9330 Å, c = 5.9330 Å
α = 142.07°, β = 142.07°, γ = 54.73°
Closest atoms and distances in Å follow each position.
Element x y z (fractional)
Cl1 0.0000 0.0000 0.0000  4 Tc 2.73
Tc1 0.5000 0.5000 0.0000  4 Cl 2.73
Cl2 0.2500 0.7500 0.5000  4 Y 2.73
Y1 0.7500 0.2500 0.5000  4 Cl 2.73

Density functional theory data (PBE-GGA) for an optimized crystal structure of YTcCl2.

Values from the calculation:
Total magnetic moment ... 2.08 μB/f.u.
Raw formation energy ... -1.231 eV/f.u.
Polymorph energy (0 for the lowest one) ... 33.8 kJ per mole of atoms

a = 3.2350 Å, b = 5.6348 Å, c = 4.4092 Å
α = 90.00°, β = 90.00°, γ = 90.00°
Closest atoms and distances in Å follow each position.
Element x y z (fractional)
Tc1 0.5000 0.0000 0.5000  4 Cl 2.73
Cl1 0.5000 0.5000 0.0000  4 Y 2.73
Cl2 0.0000 0.0000 0.0000  4 Tc 2.73
Y1 0.0000 0.5000 0.5000  4 Cl 2.73

Density functional theory data (PBE-GGA) for an optimized crystal structure of YTc2Cl.

Values from the calculation:
Total magnetic moment ... 0.00 μB/f.u.
Raw formation energy ... 0.368 eV/f.u.
Polymorph energy (0 for the lowest one) ... 37.0 kJ per mole of atoms

a = 5.4911 Å, b = 3.1865 Å, c = 4.2890 Å
α = 91.35°, β = 90.00°, γ = 90.00°
Closest atoms and distances in Å follow each position.
Element x y z (fractional)
Tc1 0.0000 0.5613 0.4933  2 Tc 2.43-2.48
Y1 0.5000 0.2500 0.2500  4 Cl 2.64-2.70
Cl1 0.5000 0.7500 0.7500  4 Y 2.64-2.70
Tc2 0.0000 0.9387 0.0067  2 Tc 2.43-2.48

Density functional theory data (PBE-GGA) for an optimized crystal structure of YTcCl2.

Values from the calculation:
Total magnetic moment ... 3.56 μB/f.u.
Raw formation energy ... -0.528 eV/f.u.
Polymorph energy (0 for the lowest one) ... 50.8 kJ per mole of atoms

a = 3.4084 Å, b = 3.4075 Å, c = 7.0989 Å
α = 90.00°, β = 90.00°, γ = 90.00°
Closest atoms and distances in Å follow each position.
Element x y z (fractional)
Tc1 0.5000 0.5000 0.2500  8 Cl 3.15, 4 Tc 3.41
Cl1 0.0000 0.0000 0.9651  4 Y 2.85, 1 Cl 3.05, 4 Tc 3.15
Cl2 0.0000 0.0000 0.5349  4 Y 2.85, 1 Cl 3.05, 4 Tc 3.15
Y1 0.5000 0.5000 0.7500  8 Cl 2.85

Among the records above, which one has the lowest raw formation energy? number 2

Which of these has the lowest raw formation energy? number 2

Which of these has the highest polymorph energy (0 for the lowest one)? number 4

Which value of polymorph energy (0 for the lowest one) does entry 4 give? 50.8 kJ per mole of atoms